No. 1
VASP calculation (PBEsol) on Li34Sb9S6 after structural relaxation.

```
data_Li34Sb9S6
_symmetry_space_group_name_H-M 'P 1'
_symmetry_Int_Tables_number 1
_cell_length_a 11.536
_cell_length_b 11.536
_cell_length_c 11.536
_cell_angle_alpha 129.74
_cell_angle_beta 129.74
_cell_angle_gamma 73.82
loop_
_symmetry_equiv_pos_as_xyz
'x,y,z'
loop_
_atom_site_label
_atom_site_type_symbol
_atom_site_fract_x
_atom_site_fract_y
_atom_site_fract_z
Li1 Li 0.057 0.907 0.711
Li2 Li 0.071 0.177 0.726
Li3 Li 0.074 0.574 0.500
Li4 Li 0.093 0.803 0.149
Li5 Li 0.149 0.718 0.867
Li6 Li 0.177 0.451 0.107
Li7 Li 0.197 0.346 0.289
Li8 Li 0.201 0.334 0.690
Li9 Li 0.250 0.750 0.500
Li10 Li 0.282 0.149 0.431
Li11 Li 0.334 0.644 0.133
Li12 Li 0.345 0.071 0.893
Li13 Li 0.346 0.057 0.149
Li14 Li 0.356 0.489 0.690
Li15 Li 0.426 0.926 0.500
Li16 Li 0.451 0.345 0.274
Li17 Li 0.489 0.799 0.133
Li18 Li 0.511 0.201 0.867
Li19 Li 0.549 0.655 0.726
Li20 Li 0.574 0.074 0.500
Li21 Li 0.644 0.511 0.310
Li22 Li 0.654 0.943 0.851
Li23 Li 0.655 0.929 0.107
Li24 Li 0.666 0.356 0.867
Li25 Li 0.718 0.851 0.569
Li26 Li 0.750 0.250 0.500
Li27 Li 0.799 0.666 0.310
Li28 Li 0.803 0.654 0.711
Li29 Li 0.823 0.549 0.893
Li30 Li 0.851 0.282 0.133
Li31 Li 0.907 0.197 0.851
Li32 Li 0.926 0.426 0.500
Li33 Li 0.929 0.823 0.274
Li34 Li 0.943 0.093 0.289
Sb1 Sb 0.032 0.472 0.819
Sb2 Sb 0.213 0.032 0.560
Sb3 Sb 0.347 0.787 0.819
Sb4 Sb 0.472 0.653 0.440
Sb5 Sb 0.500 0.500 0.000
Sb6 Sb 0.528 0.347 0.560
Sb7 Sb 0.653 0.213 0.181
Sb8 Sb 0.787 0.968 0.440
Sb9 Sb 0.968 0.528 0.181
S1 S 0.099 0.316 0.415
S2 S 0.183 0.183 0.000
S3 S 0.316 0.901 0.217
S4 S 0.684 0.099 0.783
S5 S 0.817 0.817 0.000
S6 S 0.901 0.684 0.585
```

Computed properties:
Size of the total moment in μB/atom: 0.000
Calculated volume in Å³/atom: 18.07
Uncorrected formation energy in eV per atom: -0.80

=====

No. 2
VASP calculation (PBEsol) on Tc2TeMo after structural relaxation.

```
data_Tc2TeMo
_symmetry_space_group_name_H-M 'P 1'
_symmetry_Int_Tables_number 1
_cell_length_a 3.006
_cell_length_b 3.006
_cell_length_c 25.019
_cell_angle_alpha 90.00
_cell_angle_beta 90.00
_cell_angle_gamma 120.00
loop_
_symmetry_equiv_pos_as_xyz
'x,y,z'
loop_
_atom_site_label
_atom_site_type_symbol
_atom_site_fract_x
_atom_site_fract_y
_atom_site_fract_z
Tc1 Tc 0.000 0.000 0.246
Tc2 Tc 0.000 0.000 0.754
Tc3 Tc 0.333 0.667 0.421
Tc4 Tc 0.333 0.667 0.913
Tc5 Tc 0.667 0.333 0.087
Tc6 Tc 0.667 0.333 0.579
Te1 Te 0.000 0.000 0.000
Te2 Te 0.333 0.667 0.667
Te3 Te 0.667 0.333 0.333
Mo1 Mo 0.000 0.000 0.500
Mo2 Mo 0.333 0.667 0.167
Mo3 Mo 0.667 0.333 0.833
```

Computed properties:
Size of the total moment in μB/atom: 0.000
Calculated volume in Å³/atom: 16.32
Uncorrected formation energy in eV per atom: 0.41

=====

No. 3
VASP calculation (PBEsol) on BeNi3Ru after structural relaxation.

```
data_BeNi3Ru
_symmetry_space_group_name_H-M 'P 1'
_symmetry_Int_Tables_number 1
_cell_length_a 4.357
_cell_length_b 4.357
_cell_length_c 4.357
_cell_angle_alpha 90.00
_cell_angle_beta 90.00
_cell_angle_gamma 90.00
loop_
_symmetry_equiv_pos_as_xyz
'x,y,z'
loop_
_atom_site_label
_atom_site_type_symbol
_atom_site_fract_x
_atom_site_fract_y
_atom_site_fract_z
Be1 Be 0.000 0.000 0.000
Ni1 Ni 0.000 0.500 0.500
Ni2 Ni 0.500 0.000 0.500
Ni3 Ni 0.500 0.500 0.000
Ru1 Ru 0.500 0.500 0.500
```

Computed properties:
Size of the total moment in μB/atom: 0.025
Formation energy in eV per atom: 1.71
Calculated volume in Å³/atom: 16.54

=====

No. 4
VASP calculation (PBEsol) on CsEuO3 after structural relaxation.

```
data_CsEuO3
_symmetry_space_group_name_H-M 'P 1'
_symmetry_Int_Tables_number 1
_cell_length_a 4.474
_cell_length_b 4.474
_cell_length_c 4.474
_cell_angle_alpha 90.00
_cell_angle_beta 90.00
_cell_angle_gamma 90.00
loop_
_symmetry_equiv_pos_as_xyz
'x,y,z'
loop_
_atom_site_label
_atom_site_type_symbol
_atom_site_fract_x
_atom_site_fract_y
_atom_site_fract_z
Cs1 Cs 0.000 0.000 0.000
Eu1 Eu 0.500 0.500 0.500
O1 O 0.000 0.500 0.500
O2 O 0.500 0.000 0.500
O3 O 0.500 0.500 0.000
```

Computed properties:
Size of the total moment in μB/atom: 0.800
Calculated volume in Å³/atom: 17.91
Uncorrected formation energy in eV per atom: -1.64

=====

No. 5
VASP calculation (PBEsol) on CrOs2Pt after structural relaxation.

```
data_CrOs2Pt
_symmetry_space_group_name_H-M 'P 1'
_symmetry_Int_Tables_number 1
_cell_length_a 8.886
_cell_length_b 2.675
_cell_length_c 4.659
_cell_angle_alpha 90.00
_cell_angle_beta 100.96
_cell_angle_gamma 90.00
loop_
_symmetry_equiv_pos_as_xyz
'x,y,z'
loop_
_atom_site_label
_atom_site_type_symbol
_atom_site_fract_x
_atom_site_fract_y
_atom_site_fract_z
Cr1 Cr 0.000 0.000 0.000
Cr2 Cr 0.500 0.500 0.000
Os1 Os 0.241 0.500 0.234
Os2 Os 0.259 0.000 0.766
Os3 Os 0.741 0.000 0.234
Os4 Os 0.759 0.500 0.766
Pt1 Pt 0.000 0.500 0.500
Pt2 Pt 0.500 0.000 0.500
```

Computed properties:
Size of the total moment in μB/atom: 0.000
Formation energy in eV per atom: 0.05
Calculated volume in Å³/atom: 13.59

=====

No. 6
VASP calculation (PBEsol) on Al3Mo8S16 after structural relaxation.

```
data_Al3Mo8S16
_symmetry_space_group_name_H-M 'P 1'
_symmetry_Int_Tables_number 1
_cell_length_a 6.934
_cell_length_b 6.934
_cell_length_c 9.826
_cell_angle_alpha 90.00
_cell_angle_beta 90.00
_cell_angle_gamma 90.00
loop_
_symmetry_equiv_pos_as_xyz
'x,y,z'
loop_
_atom_site_label
_atom_site_type_symbol
_atom_site_fract_x
_atom_site_fract_y
_atom_site_fract_z
Al1 Al 0.000 0.000 0.000
Al2 Al 0.000 0.500 0.749
Al3 Al 0.500 0.000 0.251
Mo1 Mo 0.000 0.299 0.359
Mo2 Mo 0.000 0.701 0.359
Mo3 Mo 0.211 0.500 0.154
Mo4 Mo 0.299 0.000 0.641
Mo5 Mo 0.500 0.211 0.846
Mo6 Mo 0.500 0.789 0.846
Mo7 Mo 0.701 0.000 0.641
Mo8 Mo 0.789 0.500 0.154
S1 S 0.000 0.228 0.615
S2 S 0.000 0.249 0.130
S3 S 0.000 0.751 0.130
S4 S 0.000 0.772 0.615
S5 S 0.228 0.000 0.385
S6 S 0.249 0.000 0.870
S7 S 0.268 0.500 0.389
S8 S 0.270 0.500 0.886
S9 S 0.500 0.268 0.611
S10 S 0.500 0.270 0.114
S11 S 0.500 0.730 0.114
S12 S 0.500 0.732 0.611
S13 S 0.730 0.500 0.886
S14 S 0.732 0.500 0.389
S15 S 0.751 0.000 0.870
S16 S 0.772 0.000 0.385
```

Computed properties:
Size of the total moment in μB/atom: 0.000
Calculated volume in Å³/atom: 17.50
Uncorrected formation energy in eV per atom: -0.84

=====

> Look up the calculated volume of the first one.

18.07 Å³/atom

=====

> What is the size of the total moment in the fifth record?

0.000 μB/atom